Computed, not measured: Pm3HoSn5 after structural relaxation at the PBE level of DFT.

Cell and atoms, written as extended XYZ:
```
18
Lattice="-3.859 -4.205 2.974 6.254 -6.962 -1.729 0.638 5.086 8.019" Properties=species:S:1:pos:R:3 pbc="T T T"
Sn 2.452 -5.049 3.007
Sn -0.784 0.387 3.011
Sn 0.804 -3.020 0.254
Sn 0.580 -1.033 6.256
Sn 4.382 -2.946 1.520
Sn -0.945 -3.685 4.009
Sn 3.978 -2.397 5.254
Sn 1.591 -8.147 0.991
Sn 2.510 1.070 4.769
Sn -2.437 0.493 7.981
Pm 2.898 -5.351 -0.324
Pm 1.362 -4.313 6.115
Pm 1.670 -1.769 3.148
Pm -2.651 -1.209 5.297
Pm -0.571 2.090 5.696
Pm -0.503 -5.816 1.569
Ho -1.930 -2.103 1.487
Ho 0.000 0.000 0.000
```

Summary:
ΔE_f ... -5.71 eV per formula unit
Final energy ... -4.95 eV per atom
Symmetry ... No. 193
Crystal system ... hexagonal